(1)
# DyMg2Cd9, relaxed, DFT PBE
# Formation energy from the elements   -0.081 eV per atom
# E   -0.1041 Ry/atom
data_DyMg2Cd9
_chemical_formula_sum 'Dy4 Mg8 Cd36'
_space_group_name_H-M_alt 'I 41/a m d'
_space_group_IT_number 141
_cell_length_a 11.867
_cell_length_b 11.867
_cell_length_c 7.731
_cell_angle_alpha 90.00
_cell_angle_beta 90.00
_cell_angle_gamma 90.00
loop_
_space_group_symop_operation_xyz
'x,y,z'
'-x,-y,-z'
'-y+1/4,x+3/4,z+1/4'
'y+1/4,-x+3/4,-z+1/4'
'-x+1/2,-y,z+1/2'
'x+1/2,y,-z+1/2'
'y+1/4,-x+1/4,z+3/4'
'-y+1/4,x+1/4,-z+3/4'
'x,-y,-z'
'-x,y,z'
'-y+1/4,-x+1/4,-z+3/4'
'y+1/4,x+1/4,z+3/4'
'-x+1/2,y,-z+1/2'
'x+1/2,-y,z+1/2'
'y+1/4,x+3/4,-z+1/4'
'-y+1/4,-x+3/4,z+1/4'
'x+1/2,y+1/2,z+1/2'
'-x+1/2,-y+1/2,-z+1/2'
'-y+3/4,x+1/4,z+3/4'
'y+3/4,-x+1/4,-z+3/4'
'-x,-y+1/2,z'
'x,y+1/2,-z'
'y+3/4,-x+3/4,z+1/4'
'-y+3/4,x+3/4,-z+1/4'
'x+1/2,-y+1/2,-z+1/2'
'-x+1/2,y+1/2,z+1/2'
'-y+3/4,-x+3/4,-z+1/4'
'y+3/4,x+3/4,z+1/4'
'-x,y+1/2,-z'
'x,-y+1/2,z'
'y+3/4,x+1/4,-z+3/4'
'-y+3/4,-x+1/4,z+3/4'
loop_
_atom_site_label
_atom_site_type_symbol
_atom_site_fract_x
_atom_site_fract_y
_atom_site_fract_z
_atom_site_occupancy
Dy1 Dy 0.000 0.250 0.375 1
Mg1 Mg 0.000 0.000 0.000 1
Cd1 Cd 0.000 0.250 0.875 1
Cd2 Cd 0.120 0.049 0.671 1

(2)
# DyMg5Cd7, relaxed, DFT PBE
# Formation energy from the elements   -0.135 eV per atom
# E   -0.1172 Ry/atom
data_DyMg5Cd7
_chemical_formula_sum 'Dy2 Mg10 Cd14'
_space_group_name_H-M_alt 'I m m 2'
_space_group_IT_number 44
_space_group_name_Hall 'I 2 -2'
_cell_length_a 6.041
_cell_length_b 9.897
_cell_length_c 9.767
_cell_angle_alpha 90.00
_cell_angle_beta 90.00
_cell_angle_gamma 90.00
loop_
_atom_site_label
_atom_site_type_symbol
_atom_site_fract_x
_atom_site_fract_y
_atom_site_fract_z
_atom_site_occupancy
Dy1 Dy 0.000 0.000 0.000 1
Mg1 Mg 0.000 0.500 0.718 1
Mg2 Mg 0.248 0.253 0.251 1
Cd1 Cd 0.000 0.000 0.339 1
Cd2 Cd 0.000 0.000 0.652 1
Cd3 Cd 0.000 0.288 0.504 1
Cd4 Cd 0.000 0.347 0.998 1
Cd5 Cd 0.000 0.500 0.288 1

(3)
# Dy2MgCd8, relaxed, DFT PBE
# Formation energy from the elements   -0.171 eV per atom
# E   -0.1337 Ry/atom
data_Dy2MgCd8
_chemical_formula_sum 'Dy4 Mg2 Cd16'
_space_group_name_H-M_alt 'C 1 2/m 1'
_space_group_IT_number 12
_space_group_name_Hall '-C 2y'
_cell_length_a 16.616
_cell_length_b 4.741
_cell_length_c 6.734
_cell_angle_alpha 90.00
_cell_angle_beta 104.03
_cell_angle_gamma 90.00
loop_
_atom_site_label
_atom_site_type_symbol
_atom_site_fract_x
_atom_site_fract_y
_atom_site_fract_z
_atom_site_occupancy
Dy1 Dy 0.220 0.000 0.164 1
Mg1 Mg 0.000 0.500 0.500 1
Cd1 Cd 0.027 0.000 0.226 1
Cd2 Cd 0.095 0.500 0.934 1
Cd3 Cd 0.147 0.000 0.662 1
Cd4 Cd 0.159 0.500 0.387 1

(4)
# DyMg2Cd6, relaxed, DFT PBE
# Formation energy from the elements   -0.097 eV per atom
# E   -0.1156 Ry/atom
data_DyMg2Cd6
_chemical_formula_sum 'Dy4 Mg8 Cd24'
_space_group_name_H-M_alt 'C m c m'
_space_group_IT_number 63
_space_group_name_Hall '-C 2c 2'
_cell_length_a 15.110
_cell_length_b 11.375
_cell_length_c 5.043
_cell_angle_alpha 90.00
_cell_angle_beta 90.00
_cell_angle_gamma 90.00
loop_
_atom_site_label
_atom_site_type_symbol
_atom_site_fract_x
_atom_site_fract_y
_atom_site_fract_z
_atom_site_occupancy
Dy1 Dy 0.000 0.191 0.250 1
Mg1 Mg 0.164 0.421 0.250 1
Cd1 Cd 0.095 0.329 0.750 1
Cd2 Cd 0.104 0.068 0.750 1
Cd3 Cd 0.211 0.159 0.250 1

(5)
# Dy6MgCd3, relaxed, DFT PBE
# Formation energy from the elements   -0.166 eV per atom
# E   -0.2471 Ry/atom
data_Dy6MgCd3
_chemical_formula_sum 'Dy12 Mg2 Cd6'
_space_group_name_H-M_alt 'P 1 21/m 1'
_space_group_IT_number 11
_space_group_name_Hall '-P 2yb'
_cell_length_a 9.233
_cell_length_b 5.347
_cell_length_c 11.706
_cell_angle_alpha 90.00
_cell_angle_beta 108.96
_cell_angle_gamma 90.00
loop_
_atom_site_label
_atom_site_type_symbol
_atom_site_fract_x
_atom_site_fract_y
_atom_site_fract_z
_atom_site_occupancy
Dy1 Dy 0.038 0.250 0.413 1
Dy2 Dy 0.157 0.750 0.180 1
Dy3 Dy 0.244 0.250 0.007 1
Dy4 Dy 0.342 0.750 0.797 1
Dy5 Dy 0.364 0.250 0.336 1
Dy6 Dy 0.410 0.250 0.624 1
Mg1 Mg 0.458 0.750 0.088 1
Cd1 Cd 0.043 0.750 0.881 1
Cd2 Cd 0.126 0.250 0.720 1
Cd3 Cd 0.273 0.750 0.477 1

(6)
# DyMg6Cd2, relaxed, DFT PBE
# Formation energy from the elements   -0.075 eV per atom
# Excess energy over the best structure of this formula in the dataset   0.000 eV/atom
# E   -0.1362 Ry/atom
data_DyMg6Cd2
_chemical_formula_sum 'Dy1 Mg6 Cd2'
_space_group_name_H-M_alt 'P 4/m m m'
_space_group_IT_number 123
_space_group_name_Hall '-P 4 2'
_cell_length_a 4.397
_cell_length_b 4.397
_cell_length_c 11.066
_cell_angle_alpha 90.00
_cell_angle_beta 90.00
_cell_angle_gamma 90.00
loop_
_atom_site_label
_atom_site_type_symbol
_atom_site_fract_x
_atom_site_fract_y
_atom_site_fract_z
_atom_site_occupancy
Dy1 Dy 0.000 0.000 0.000 1
Mg1 Mg 0.000 0.000 0.500 1
Mg2 Mg 0.000 0.500 0.289 1
Mg3 Mg 0.500 0.500 0.500 1
Cd1 Cd 0.500 0.500 0.123 1

(7)
# Dy2Mg3Cd4, relaxed, DFT PBE
# Formation energy from the elements   -0.179 eV per atom
# Excess energy over the best structure of this formula in the dataset   0.050 eV/atom
# E   -0.1573 Ry/atom
data_Dy2Mg3Cd4
_chemical_formula_sum 'Dy8 Mg12 Cd16'
_space_group_name_H-M_alt 'C m c e'
_space_group_IT_number 64
_space_group_name_Hall '-C 2ac 2'
_cell_length_a 6.160
_cell_length_b 17.241
_cell_length_c 8.186
_cell_angle_alpha 90.00
_cell_angle_beta 90.00
_cell_angle_gamma 90.00
loop_
_atom_site_label
_atom_site_type_symbol
_atom_site_fract_x
_atom_site_fract_y
_atom_site_fract_z
_atom_site_occupancy
Dy1 Dy 0.000 0.095 0.104 1
Mg1 Mg 0.000 0.000 0.500 1
Mg2 Mg 0.250 0.239 0.750 1
Cd1 Cd 0.000 0.166 0.478 1
Cd2 Cd 0.250 0.068 0.750 1

(8)
# DyMg2Cd3, relaxed, DFT PBE
# Formation energy from the elements   -0.110 eV per atom
# Excess energy over the best structure of this formula in the dataset   0.093 eV/atom
# E   -0.1371 Ry/atom
data_DyMg2Cd3
_chemical_formula_sum 'Dy4 Mg8 Cd12'
_space_group_name_H-M_alt 'C m c m'
_space_group_IT_number 63
_space_group_name_Hall '-C 2c 2'
_cell_length_a 10.934
_cell_length_b 8.668
_cell_length_c 6.157
_cell_angle_alpha 90.00
_cell_angle_beta 90.00
_cell_angle_gamma 90.00
loop_
_atom_site_label
_atom_site_type_symbol
_atom_site_fract_x
_atom_site_fract_y
_atom_site_fract_z
_atom_site_occupancy
Dy1 Dy 0.000 0.126 0.250 1
Mg1 Mg 0.228 0.500 0.000 1
Cd1 Cd 0.000 0.487 0.250 1
Cd2 Cd 0.135 0.217 0.750 1

Number 1: density 7.460 g/cm³. Number 2: density 6.091 g/cm³. Number 3: density 8.058 g/cm³. Number 4: density 6.786 g/cm³. Number 5: density 8.122 g/cm³. Number 6: density 4.139 g/cm³. Number 7: density 6.475 g/cm³. Number 8: density 6.241 g/cm³.